1.
First-principles (GGA-PBEsol) data for crystalline Hg2BiWI at its relaxed geometry, as listed in the Alexandria database.

a = 5.3894 Å, b = 5.3894 Å, c = 5.2745 Å
α = 90.00°, β = 90.00°, γ = 90.00°
Space group P4/mmm (No. 123)
Asymmetric unit:
Hg  0.0000  0.5000  0.0000
Bi  0.0000  0.0000  0.5000
W  0.0000  0.0000  0.0000
I  0.5000  0.5000  0.5000

Properties
The calculation puts the formation energy without anion corrections at 747 meV per atom. As for the crystal system: tetragonal.

2.
First-principles (GGA-PBEsol) data for crystalline In2HgBi at its relaxed geometry, as listed in the Alexandria database.

a = 7.5451 Å, b = 7.5451 Å, c = 7.5451 Å
α = 90.00°, β = 90.00°, γ = 90.00°
Space group Fm-3m (No. 225)
Asymmetric unit:
In  0.2500  0.2500  0.2500
Hg  0.0000  0.0000  0.0000
Bi  0.0000  0.0000  0.5000

Properties
As for the crystal system: cubic. The calculation puts the raw total energy at -2.73 eV/atom.